No. 1
First-principles (PBE) data for an optimized crystal structure of BeCuIrPt2, as listed in Alexandria via LeMat-Bulk.

Summary:
space-group type	No. 123
energy of formation	984	meV per atom
crystal system	tetragonal

Cell and atoms, written as POSCAR:
```
BeCuIrPt2
1.0
4.552 0.000 0.000
0.000 4.552 0.000
0.000 0.000 3.787
Be Cu Ir Pt
1 1 1 2
direct
0.000 0.000 0.000
0.000 0.000 0.500
0.500 0.500 0.000
0.000 0.500 0.500
0.500 0.000 0.500
```

No. 2
First-principles (PBE) data for an optimized crystal structure of Pm6SmHo, as listed in Alexandria via LeMat-Bulk.

Summary:
space-group type	No. 123
energy of formation	17	meV per atom
crystal system	tetragonal

Cell and atoms, written as POSCAR:
```
Pm6SmHo
1.0
5.134 0.000 0.000
0.000 5.134 0.000
0.000 0.000 10.262
Pm Sm Ho
6 1 1
direct
0.000 0.000 0.000
0.000 0.000 0.500
0.000 0.500 0.249
0.000 0.500 0.751
0.500 0.000 0.249
0.500 0.000 0.751
0.500 0.500 0.500
0.500 0.500 0.000
```

No. 3
First-principles (PBE) data for an optimized crystal structure of Ce3Te3H2, as listed in Alexandria via LeMat-Bulk.

Summary:
total energy	-5.343	eV/atom
space-group type	No. 63
crystal system	orthorhombic

Cell and atoms, written as POSCAR:
```
Ce3Te3H2
1.0
2.092 -5.806 0.000
2.092 5.806 0.000
0.000 0.000 15.924
Ce Te H
6 6 4
direct
0.145 0.855 0.250
0.145 0.855 0.552
0.145 0.855 0.948
0.855 0.145 0.052
0.855 0.145 0.448
0.855 0.145 0.750
0.146 0.854 0.750
0.429 0.571 0.603
0.429 0.571 0.897
0.571 0.429 0.103
0.571 0.429 0.397
0.854 0.146 0.250
0.271 0.729 0.062
0.271 0.729 0.438
0.729 0.271 0.562
0.729 0.271 0.938
```

No. 4
First-principles (PBE) data for an optimized crystal structure of FeMoOs, as listed in Alexandria via LeMat-Bulk.

Summary:
polymorph energy (0 for the lowest one)	497	meV per atom
space-group type	No. 216
energy of formation	626	meV per atom
crystal system	cubic

Cell and atoms, written as POSCAR:
```
FeMoOs
1.0
0.000 2.853 2.853
2.853 0.000 2.853
2.853 2.853 0.000
Fe Mo Os
1 1 1
direct
0.000 0.000 0.000
0.250 0.250 0.250
0.750 0.750 0.750
```

No. 5
First-principles (PBE) data for an optimized crystal structure of Pm3In2GaRu3, as listed in Alexandria via LeMat-Bulk.

Summary:
space-group type	No. 189
energy of formation	-242	meV per atom
crystal system	hexagonal

Cell and atoms, written as POSCAR:
```
Pm3In2GaRu3
1.0
7.734 0.000 0.000
-3.867 6.698 0.000
0.000 0.000 3.771
Pm In Ga Ru
3 2 1 3
direct
0.000 0.364 0.000
0.364 0.000 0.000
0.636 0.636 0.000
0.333 0.667 0.500
0.667 0.333 0.500
0.000 0.000 0.000
0.000 0.765 0.500
0.235 0.235 0.500
0.765 0.000 0.500
```

No. 6
First-principles (PBE) data for an optimized crystal structure of TbNd12Th7, as listed in Alexandria via LeMat-Bulk.

Summary:
space-group type	No. 204
energy of formation	866	meV per atom
crystal system	cubic

Cell and atoms, written as POSCAR:
```
TbNd12Th7
1.0
-5.823 5.823 5.823
5.823 -5.823 5.823
5.823 5.823 -5.823
Tb Nd Th
1 12 7
direct
0.000 0.000 0.000
0.080 0.774 0.306
0.226 0.306 0.532
0.226 0.694 0.920
0.306 0.080 0.774
0.306 0.532 0.226
0.468 0.774 0.694
0.532 0.226 0.306
0.694 0.468 0.774
0.694 0.920 0.226
0.774 0.306 0.080
0.774 0.694 0.468
0.920 0.226 0.694
0.000 0.000 0.500
0.000 0.500 0.000
0.000 0.500 0.500
0.500 0.000 0.000
0.500 0.000 0.500
0.500 0.500 0.000
0.500 0.500 0.500
```

No. 7
First-principles (PBE) data for an optimized crystal structure of SmSnBi, as listed in Alexandria via LeMat-Bulk.

Summary:
polymorph energy (0 for the lowest one)	0	meV per atom
space-group type	No. 63
energy of formation	-651	meV per atom
crystal system	orthorhombic

Cell and atoms, written as POSCAR:
```
SmSnBi
1.0
2.311 -8.462 0.000
2.311 8.462 0.000
0.000 0.000 4.494
Sm Sn Bi
2 2 2
direct
0.099 0.901 0.750
0.901 0.099 0.250
0.441 0.559 0.750
0.559 0.441 0.250
0.250 0.750 0.250
0.750 0.250 0.750
```

No. 8
First-principles (PBE) data for an optimized crystal structure of PdPbNO2, as listed in Alexandria via LeMat-Bulk.

Summary:
uncorrected formation energy	4.67	eV/f.u.
space-group type	No. 123
crystal system	tetragonal

Cell and atoms, written as POSCAR:
```
PdPbNO2
1.0
4.276 0.000 0.000
0.000 4.276 0.000
0.000 0.000 4.361
Pd Pb N O
1 1 1 2
direct
0.000 0.000 0.000
0.500 0.500 0.500
0.500 0.500 0.000
0.000 0.500 0.500
0.500 0.000 0.500
```

Quick rundown of M_tot, same order as above: 0.0; 0.0; 7.9; 1.1; 0.0; 0.2; 0.0; 3.1 μB per cell